(1)
# CeTm3Bi4

CeTm3Bi4 after structural relaxation (PBE, Alexandria).

Unit cell a=8.9469 b=12.6544 c=4.4828 alpha=90.00 beta=90.00 gamma=90.00
Space group Cmmm (No. 65)
One atom of each set of equivalent atoms:
Ce (0.0000, 0.0000, 0.0000) (multiplicity 2)
Tm (0.0000, 0.5000, 0.0000) (multiplicity 2)
Tm (0.2500, 0.2500, 0.5000) (multiplicity 4)
Bi (0.0000, 0.2532, 0.0000) (multiplicity 4)
Bi (0.2432, 0.5000, 0.5000) (multiplicity 4)

Summary:
Calculated formation energy ... -6.24 eV per formula unit
Total DFT energy (no corrections) ... -5.1394 eV/atom
V ... 507.5 Å³ per cell
Theoretical density ... 9.7 Mg/m³

(2)
# Ce5Tm3Bi8

Ce5Tm3Bi8 after structural relaxation (PBE, Alexandria).

Unit cell a=9.0805 b=9.0805 c=22.2259 alpha=90.00 beta=90.00 gamma=120.00
Space group R-3m (No. 166, hexagonal axes)
One atom of each set of equivalent atoms:
Ce (0.0000, 0.0000, 0.0000) (multiplicity 3)
Ce (0.0000, 0.0000, 0.5000) (multiplicity 3)
Ce (0.0000, 0.5000, 0.0000) (multiplicity 9)
Tm (0.0000, 0.5000, 0.5000) (multiplicity 9)
Bi (0.0000, 0.0000, 0.2466) (multiplicity 6)
Bi (0.0047, 0.5024, 0.7524) (multiplicity 18)

Summary:
Calculated formation energy ... -12.52 eV per formula unit
Total DFT energy (no corrections) ... -5.4160 eV/atom
V ... 1587.1 Å³ per cell
Theoretical density ... 9.0 Mg/m³

(3)
# CeTm8Bi2

CeTm8Bi2 after structural relaxation (PBE, Alexandria).

Unit cell a=17.6861 b=4.8605 c=8.1004 alpha=90.00 beta=110.42 gamma=90.00
Space group C2/m (No. 12)
One atom of each set of equivalent atoms:
Ce (0.0000, 0.0000, 0.0000) (multiplicity 2)
Tm (0.0445, 0.5000, 0.7524) (multiplicity 4)
Tm (0.0929, 0.0000, 0.4654) (multiplicity 4)
Tm (0.1458, 0.5000, 0.2080) (multiplicity 4)
Tm (0.1819, 0.0000, 0.9306) (multiplicity 4)
Bi (0.2165, 0.5000, 0.6559) (multiplicity 4)

Summary:
Calculated formation energy ... -2.42 eV per formula unit
Total DFT energy (no corrections) ... -4.7175 eV/atom
V ... 652.6 Å³ per cell
Theoretical density ... 9.7 Mg/m³

(4)
# CeTm5Bi4

CeTm5Bi4 after structural relaxation (PBE, Alexandria).

Unit cell a=18.8272 b=4.8181 c=7.5976 alpha=90.00 beta=110.83 gamma=90.00
Space group C2/m (No. 12)
One atom of each set of equivalent atoms:
Ce (0.0000, 0.0000, 0.0000) (multiplicity 2)
Tm (0.0000, 0.0000, 0.5000) (multiplicity 2)
Tm (0.1495, 0.5000, 0.7400) (multiplicity 4)
Tm (0.2119, 0.5000, 0.3103) (multiplicity 4)
Bi (0.0430, 0.5000, 0.2998) (multiplicity 4)
Bi (0.1702, 0.0000, 0.0094) (multiplicity 4)

Summary:
Calculated formation energy ... -4.16 eV per formula unit
Total DFT energy (no corrections) ... -4.7974 eV/atom
V ... 644.1 Å³ per cell
Theoretical density ... 9.4 Mg/m³

(5)
# Ce2TmBi

Ce2TmBi after structural relaxation (PBE, Alexandria).

Unit cell a=4.6112 b=4.6112 c=5.1981 alpha=90.00 beta=90.00 gamma=90.00
Space group P4/mmm (No. 123)
One atom of each set of equivalent atoms:
Ce (0.0000, 0.5000, 0.0000) (multiplicity 2)
Tm (0.0000, 0.0000, 0.5000) (multiplicity 1)
Bi (0.5000, 0.5000, 0.5000) (multiplicity 1)

Summary:
Calculated formation energy ... -1.41 eV per formula unit
Total DFT energy (no corrections) ... -5.4077 eV/atom
V ... 110.5 Å³ per cell
Theoretical density ... 9.9 Mg/m³

(6)
# Ce2TmBi2

Ce2TmBi2 after structural relaxation (PBE, Alexandria).

Unit cell a=4.4413 b=4.4413 c=32.6918 alpha=90.00 beta=90.00 gamma=90.00
Space group I4_1/amd (No. 141, origin choice 2)
One atom of each set of equivalent atoms:
Ce (0.0000, 0.2500, 0.0279) (multiplicity 8)
Tm (0.0000, 0.2500, 0.3750) (multiplicity 4)
Bi (0.0000, 0.2500, 0.1903) (multiplicity 8)

Summary:
Calculated formation energy ... -1.91 eV per formula unit
Total DFT energy (no corrections) ... -5.2031 eV/atom
V ... 644.9 Å³ per cell
Theoretical density ... 8.9 Mg/m³